Record 1
# Zn2Te (PBE-GGA, optimized geometry)
data_Zn2Te
_chemical_formula_sum 'Zn4 Te2'
_space_group_name_H-M_alt 'P 63/m m c'
_space_group_IT_number 194
_space_group_name_Hall '-P 6c 2c'
_cell_length_a 4.2037
_cell_length_b 4.2037
_cell_length_c 10.7465
_cell_angle_alpha 90.00
_cell_angle_beta 90.00
_cell_angle_gamma 120.00
loop_
_atom_site_label
_atom_site_type_symbol
_atom_site_fract_x
_atom_site_fract_y
_atom_site_fract_z
Zn1 Zn 0.0000 0.0000 0.1112
Te1 Te 0.3333 0.6667 0.2500
# Calculated volume in Å³/atom: 27.4
# Uncorrected formation energy in eV per atom: -0.08

Record 2
# PuI2O6 (PBE-GGA, optimized geometry)
data_PuI2O6
_chemical_formula_sum 'Pu4 I8 O24'
_space_group_name_H-M_alt 'C 1 2/c 1'
_space_group_IT_number 15
_space_group_name_Hall '-C 2yc'
_cell_length_a 10.6694
_cell_length_b 11.6362
_cell_length_c 5.9720
_cell_angle_alpha 90.00
_cell_angle_beta 95.59
_cell_angle_gamma 90.00
loop_
_atom_site_label
_atom_site_type_symbol
_atom_site_fract_x
_atom_site_fract_y
_atom_site_fract_z
Pu1 Pu 0.0000 0.0763 0.2500
I1 I 0.1172 0.3959 0.0568
O1 O 0.0974 0.0392 0.6211
O2 O 0.1007 0.1917 0.1327
O3 O 0.1184 0.4413 0.5478
# Calculated volume in Å³/atom: 20.5
# Uncorrected formation energy in eV per atom: -1.00

Record 3
# CeTe8Rh4 (PBE-GGA, optimized geometry)
data_CeTe8Rh4
_chemical_formula_sum 'Ce3 Te24 Rh12'
_space_group_name_H-M_alt 'R -3 m'
_space_group_IT_number 166
_space_group_name_Hall '-R 3 2"'
_cell_length_a 8.1783
_cell_length_b 8.1783
_cell_length_c 18.6043
_cell_angle_alpha 90.00
_cell_angle_beta 90.00
_cell_angle_gamma 120.00
loop_
_atom_site_label
_atom_site_type_symbol
_atom_site_fract_x
_atom_site_fract_y
_atom_site_fract_z
Ce1 Ce 0.0000 0.0000 0.0000
Te1 Te 0.0000 0.0000 0.2402
Te2 Te 0.0065 0.5033 0.2355
Rh1 Rh 0.0000 0.0000 0.5000
Rh2 Rh 0.0000 0.5000 0.5000
# Calculated volume in Å³/atom: 27.6
# Uncorrected formation energy in eV per atom: -0.52

Record 4
# CdIr2PtRh (PBE-GGA, optimized geometry)
data_CdIr2PtRh
_chemical_formula_sum 'Cd1 Ir2 Pt1 Rh1'
_space_group_name_H-M_alt 'P 4/m m m'
_space_group_IT_number 123
_space_group_name_Hall '-P 4 2'
_cell_length_a 4.6703
_cell_length_b 4.6703
_cell_length_c 4.9612
_cell_angle_alpha 90.00
_cell_angle_beta 90.00
_cell_angle_gamma 90.00
loop_
_atom_site_label
_atom_site_type_symbol
_atom_site_fract_x
_atom_site_fract_y
_atom_site_fract_z
Cd1 Cd 0.0000 0.0000 0.0000
Ir1 Ir 0.0000 0.5000 0.5000
Pt1 Pt 0.5000 0.5000 0.0000
Rh1 Rh 0.5000 0.5000 0.5000
# Calculated volume in Å³/atom: 21.6
# VASP energy in eV/cell: -24.7

Record 5
# AlTcIr (PBE-GGA, optimized geometry)
data_AlTcIr
_chemical_formula_sum 'Al2 Tc2 Ir2'
_space_group_name_H-M_alt 'I m m 2'
_space_group_IT_number 44
_space_group_name_Hall 'I 2 -2'
_cell_length_a 2.7865
_cell_length_b 3.8159
_cell_length_c 8.1021
_cell_angle_alpha 90.00
_cell_angle_beta 90.00
_cell_angle_gamma 90.00
loop_
_atom_site_label
_atom_site_type_symbol
_atom_site_fract_x
_atom_site_fract_y
_atom_site_fract_z
Al1 Al 0.0000 0.0000 0.0000
Tc1 Tc 0.0000 0.0000 0.3322
Ir1 Ir 0.0000 0.0000 0.6632
# Calculated volume in Å³/atom: 14.4
# VASP energy in eV/cell: -47.9

Record 6
# Ba3ErIrRuO9 (PBE-GGA, optimized geometry)
data_Ba3ErIrRuO9
_chemical_formula_sum 'Ba6 Er2 Ir2 Ru2 O18'
_space_group_name_H-M_alt 'P 63 m c'
_space_group_IT_number 186
_space_group_name_Hall 'P 6c -2c'
_cell_length_a 5.9372
_cell_length_b 5.9372
_cell_length_c 14.6272
_cell_angle_alpha 90.00
_cell_angle_beta 90.00
_cell_angle_gamma 120.00
loop_
_atom_site_label
_atom_site_type_symbol
_atom_site_fract_x
_atom_site_fract_y
_atom_site_fract_z
Ba1 Ba 0.0000 0.0000 0.0000
Ba2 Ba 0.3333 0.6667 0.1573
Ba3 Ba 0.3333 0.6667 0.8407
Er1 Er 0.0000 0.0000 0.2496
Ir1 Ir 0.3333 0.6667 0.5865
Ru1 Ru 0.3333 0.6667 0.4134
O1 O 0.0206 0.5103 0.4999
O2 O 0.1755 0.3509 0.3379
O3 O 0.1755 0.3510 0.6652
# Calculated volume in Å³/atom: 14.9
# Uncorrected formation energy in eV per atom: -2.18

Record 7
# ZnCu (PBE-GGA, optimized geometry)
data_ZnCu
_chemical_formula_sum 'Zn2 Cu2'
_space_group_name_H-M_alt 'P -1'
_space_group_IT_number 2
_space_group_name_Hall '-P 1'
_cell_length_a 2.7433
_cell_length_b 4.4259
_cell_length_c 4.9115
_cell_angle_alpha 113.07
_cell_angle_beta 106.13
_cell_angle_gamma 90.06
loop_
_atom_site_label
_atom_site_type_symbol
_atom_site_fract_x
_atom_site_fract_y
_atom_site_fract_z
Zn1 Zn 0.1200 0.3083 0.2409
Cu1 Cu 0.3710 0.1873 0.7428
# Calculated volume in Å³/atom: 13.1
# VASP energy in eV/cell: -11.1

Record 8
# Y2ScCdN (PBE-GGA, optimized geometry)
data_Y2ScCdN
_chemical_formula_sum 'Y2 Sc1 Cd1 N1'
_space_group_name_H-M_alt 'P 4/m m m'
_space_group_IT_number 123
_space_group_name_Hall '-P 4 2'
_cell_length_a 4.8788
_cell_length_b 4.8788
_cell_length_c 4.4443
_cell_angle_alpha 90.00
_cell_angle_beta 90.00
_cell_angle_gamma 90.00
loop_
_atom_site_label
_atom_site_type_symbol
_atom_site_fract_x
_atom_site_fract_y
_atom_site_fract_z
Y1 Y 0.0000 0.5000 0.0000
Sc1 Sc 0.0000 0.0000 0.5000
Cd1 Cd 0.5000 0.5000 0.5000
N1 N 0.0000 0.0000 0.0000
# Calculated volume in Å³/atom: 21.2
# Uncorrected formation energy in eV per atom: -0.90

Record 9
# LaDyMgBi (PBE-GGA, optimized geometry)
data_LaDyMgBi
_chemical_formula_sum 'La4 Dy4 Mg4 Bi4'
_space_group_name_H-M_alt 'F -4 3 m'
_space_group_IT_number 216
_space_group_name_Hall 'F -4 2 3'
_cell_length_a 7.8242
_cell_length_b 7.8242
_cell_length_c 7.8242
_cell_angle_alpha 90.00
_cell_angle_beta 90.00
_cell_angle_gamma 90.00
loop_
_atom_site_label
_atom_site_type_symbol
_atom_site_fract_x
_atom_site_fract_y
_atom_site_fract_z
La1 La 0.0000 0.0000 0.0000
Dy1 Dy 0.0000 0.0000 0.5000
Mg1 Mg 0.2500 0.2500 0.2500
Bi1 Bi 0.2500 0.2500 0.7500
# Calculated volume in Å³/atom: 29.9
# VASP energy in eV/cell: -65.8